The following is a GGA+U calculation of crystalline CsYMo2O8 at its relaxed geometry, from Alexandria via LeMat-Bulk.

Unit cell a=5.102 b=8.196 c=9.823 alpha=86.99 beta=90.00 gamma=90.00
Sites, in units of the cell vectors:
1 Cs 0.062 0.250 0.500
2 Cs 0.938 0.750 0.500
3 Y 0.999 0.250 0.000
4 Y 0.001 0.750 0.000
5 Mo 0.477 0.488 0.192
6 Mo 0.477 0.012 0.808
7 Mo 0.523 0.512 0.808
8 Mo 0.523 0.988 0.192
9 O 0.607 0.475 0.357
10 O 0.607 0.025 0.643
11 O 0.393 0.525 0.643
12 O 0.393 0.975 0.357
13 O 0.257 0.315 0.182
14 O 0.257 0.185 0.818
15 O 0.743 0.685 0.818
16 O 0.743 0.815 0.182
17 O 0.263 0.664 0.181
18 O 0.263 0.836 0.819
19 O 0.737 0.336 0.819
20 O 0.737 0.164 0.181
21 O 0.248 0.996 0.067
22 O 0.248 0.504 0.933
23 O 0.752 0.004 0.933
24 O 0.752 0.496 0.067

## Properties
* space group: P2/c (13)
* final energy: -7.267 eV/atom
* crystal system: monoclinic